A plane-wave DFT calculation with PBE-GGA was carried out for crystalline Sr2PrAg2Se4 at its relaxed geometry.

Output
Total DFT energy (no corrections) in eV/atom: -4.373

```
data_Sr2PrAg2Se4
_chemical_formula_sum 'Sr4 Pr2 Ag4 Se8'
_symmetry_space_group_name_H-M 'C 1 2/m 1'
_symmetry_Int_Tables_number 12
_symmetry_space_group_name_Hall '-C 2y'
_cell_length_a 15.863
_cell_length_b 4.147
_cell_length_c 7.965
_cell_angle_alpha 90.00
_cell_angle_beta 114.21
_cell_angle_gamma 90.00
loop_
_atom_site_label
_atom_site_type_symbol
_atom_site_fract_x
_atom_site_fract_y
_atom_site_fract_z
Sr1 Sr 0.135 0.000 0.082
Pr1 Pr 0.000 0.000 0.500
Ag1 Ag 0.188 0.500 0.513
Se1 Se 0.018 0.500 0.235
Se2 Se 0.202 0.000 0.756
```


A plane-wave DFT calculation with PBE-GGA was carried out for crystalline FeBr3 at its relaxed geometry.

Output
Total DFT energy (no corrections) in eV/atom: -3.305

```
data_FeBr3
_chemical_formula_sum 'Fe4 Br12'
_symmetry_space_group_name_H-M 'C m c m'
_symmetry_Int_Tables_number 63
_symmetry_space_group_name_Hall '-C 2c 2'
_cell_length_a 11.115
_cell_length_b 17.776
_cell_length_c 2.805
_cell_angle_alpha 90.00
_cell_angle_beta 90.00
_cell_angle_gamma 90.00
loop_
_atom_site_label
_atom_site_type_symbol
_atom_site_fract_x
_atom_site_fract_y
_atom_site_fract_z
Fe1 Fe 0.000 0.056 0.250
Br1 Br 0.000 0.309 0.250
Br2 Br 0.197 0.105 0.250
```


A plane-wave DFT calculation with PBE-GGA was carried out for crystalline BaAlInHg2 at its relaxed geometry.

Output
Energy relative to the elements in meV per atom: -162

```
data_BaAlInHg2
_chemical_formula_sum 'Ba1 Al1 In1 Hg2'
_symmetry_space_group_name_H-M 'P 4/m m m'
_symmetry_Int_Tables_number 123
_symmetry_space_group_name_Hall '-P 4 2'
_cell_length_a 5.285
_cell_length_b 5.285
_cell_length_c 5.540
_cell_angle_alpha 90.00
_cell_angle_beta 90.00
_cell_angle_gamma 90.00
loop_
_atom_site_label
_atom_site_type_symbol
_atom_site_fract_x
_atom_site_fract_y
_atom_site_fract_z
Ba1 Ba 0.000 0.000 0.000
Al1 Al 0.500 0.500 0.500
In1 In 0.500 0.500 0.000
Hg1 Hg 0.000 0.500 0.500
```


A plane-wave DFT calculation with PBE-GGA was carried out for crystalline RbZn3Au6 at its relaxed geometry.

Output
Energy relative to the elements in meV per atom: -136

```
data_RbZn3Au6
_chemical_formula_sum 'Rb2 Zn6 Au12'
_symmetry_space_group_name_H-M 'P 1 21/c 1'
_symmetry_Int_Tables_number 14
_symmetry_space_group_name_Hall '-P 2ybc'
_cell_length_a 7.057
_cell_length_b 7.275
_cell_length_c 9.206
_cell_angle_alpha 90.00
_cell_angle_beta 121.54
_cell_angle_gamma 90.00
loop_
_atom_site_label
_atom_site_type_symbol
_atom_site_fract_x
_atom_site_fract_y
_atom_site_fract_z
Rb1 Rb 0.000 0.000 0.000
Zn1 Zn 0.260 0.166 0.416
Zn2 Zn 0.500 0.000 0.000
Au1 Au 0.140 0.022 0.681
Au2 Au 0.258 0.690 0.893
Au3 Au 0.478 0.212 0.244
```


A plane-wave DFT calculation with PBE-GGA was carried out for crystalline ZrSn2S4 at its relaxed geometry.

Output
Total DFT energy (no corrections) in eV/atom: -5.508

```
data_ZrSn2S4
_chemical_formula_sum 'Zr4 Sn8 S16'
_symmetry_space_group_name_H-M 'C m c m'
_symmetry_Int_Tables_number 63
_symmetry_space_group_name_Hall '-C 2c 2'
_cell_length_a 3.589
_cell_length_b 14.186
_cell_length_c 13.253
_cell_angle_alpha 90.00
_cell_angle_beta 90.00
_cell_angle_gamma 90.00
loop_
_atom_site_label
_atom_site_type_symbol
_atom_site_fract_x
_atom_site_fract_y
_atom_site_fract_z
Zr1 Zr 0.000 0.123 0.250
Sn1 Sn 0.000 0.375 0.071
S1 S 0.000 0.000 0.000
S2 S 0.000 0.300 0.630
S3 S 0.000 0.491 0.250
```


A plane-wave DFT calculation with PBE-GGA was carried out for crystalline Tl4PdBr5 at its relaxed geometry.

Output
Total DFT energy (no corrections) in eV/atom: -2.927

```
data_Tl4PdBr5
_chemical_formula_sum 'Tl8 Pd2 Br10'
_symmetry_space_group_name_H-M 'I 4/m'
_symmetry_Int_Tables_number 87
_symmetry_space_group_name_Hall '-I 4'
_cell_length_a 10.094
_cell_length_b 10.094
_cell_length_c 6.704
_cell_angle_alpha 90.00
_cell_angle_beta 90.00
_cell_angle_gamma 90.00
loop_
_atom_site_label
_atom_site_type_symbol
_atom_site_fract_x
_atom_site_fract_y
_atom_site_fract_z
Tl1 Tl 0.084 0.699 0.000
Pd1 Pd 0.000 0.000 0.500
Br1 Br 0.000 0.000 0.000
Br2 Br 0.097 0.753 0.500
```


A plane-wave DFT calculation with PBE-GGA was carried out for crystalline HfAl3Pd12 at its relaxed geometry.

Output
Energy relative to the elements in meV per atom: -681

```
data_HfAl3Pd12
_chemical_formula_sum 'Hf1 Al3 Pd12'
_symmetry_space_group_name_H-M 'P 4/m m m'
_symmetry_Int_Tables_number 123
_symmetry_space_group_name_Hall '-P 4 2'
_cell_length_a 3.948
_cell_length_b 3.948
_cell_length_c 15.645
_cell_angle_alpha 90.00
_cell_angle_beta 90.00
_cell_angle_gamma 90.00
loop_
_atom_site_label
_atom_site_type_symbol
_atom_site_fract_x
_atom_site_fract_y
_atom_site_fract_z
Hf1 Hf 0.000 0.000 0.000
Al1 Al 0.000 0.000 0.256
Al2 Al 0.000 0.000 0.500
Pd1 Pd 0.000 0.500 0.129
Pd2 Pd 0.000 0.500 0.377
Pd3 Pd 0.500 0.500 0.000
Pd4 Pd 0.500 0.500 0.253
Pd5 Pd 0.500 0.500 0.500
```


A plane-wave DFT calculation with PBE-GGA was carried out for crystalline Sm2ThTc at its relaxed geometry.

Output
Energy relative to the elements in meV per atom: -106

```
data_Sm2ThTc
_chemical_formula_sum 'Sm8 Th4 Tc4'
_symmetry_space_group_name_H-M 'P n m a'
_symmetry_Int_Tables_number 62
_symmetry_space_group_name_Hall '-P 2ac 2n'
_cell_length_a 7.354
_cell_length_b 9.815
_cell_length_c 6.471
_cell_angle_alpha 90.00
_cell_angle_beta 90.00
_cell_angle_gamma 90.00
loop_
_atom_site_label
_atom_site_type_symbol
_atom_site_fract_x
_atom_site_fract_y
_atom_site_fract_z
Sm1 Sm 0.175 0.067 0.172
Th1 Th 0.053 0.250 0.651
Tc1 Tc 0.127 0.750 0.988
```